# TbAs2Pt8 (GGA-PBE, optimized geometry)
# DFT total energy: -6.1500 eV/atom
# Volume: 379 Å³ per cell
# ρ: 16.4 g/cm³
data_TbAs2Pt8
_chemical_formula_sum 'Tb2 As4 Pt16'
_symmetry_space_group_name_H-M 'C 1 2/m 1'
_symmetry_Int_Tables_number 12
_symmetry_space_group_name_Hall '-C 2y'
_cell_length_a 12.4817
_cell_length_b 4.1056
_cell_length_c 9.4184
_cell_angle_alpha 90.00
_cell_angle_beta 128.31
_cell_angle_gamma 90.00
loop_
_atom_site_label
_atom_site_type_symbol
_atom_site_fract_x
_atom_site_fract_y
_atom_site_fract_z
Tb1 Tb 0.0000 0.0000 0.0000
As1 As 0.0680 0.5000 0.7850
Pt1 Pt 0.0456 0.0000 0.3940
Pt2 Pt 0.1684 0.5000 0.3325
Pt3 Pt 0.1856 0.5000 0.6538
Pt4 Pt 0.2371 0.5000 0.1015